Entry 1:
A plane-wave DFT calculation with PBE was carried out for a relaxed KTcP2 crystal.

- calculated volume (Å³ per cell) = 101.5
- energy relative to the lowest polymorph listed for this composition (eV per atom) = 0.4683
- formation enthalpy at 0 K (eV per formula unit) = 0.73

```
KTcP2
1.0
-1.059 -2.939 4.412
4.335 -3.052 -1.056
-0.821 5.160 1.387
P Tc K
2 1 1
direct
0.395 0.395 0.000
0.105 0.105 0.000
0.250 0.750 0.500
0.750 0.250 0.500
```


Entry 2:
A plane-wave DFT calculation with PBE was carried out for a relaxed KTcP2 crystal.

- calculated volume (Å³ per cell) = 99.9
- energy relative to the lowest polymorph listed for this composition (eV per atom) = 0.1537
- formation enthalpy at 0 K (eV per formula unit) = -0.53

```
KTcP2
1.0
-0.980 1.148 3.688
-2.282 -2.511 0.175
6.294 -3.241 2.681
Tc P K
1 2 1
direct
0.000 0.065 0.255
0.500 0.141 0.406
0.000 0.463 0.052
0.500 0.831 0.787
```


Entry 3:
A plane-wave DFT calculation with PBE was carried out for a relaxed KTcP crystal.

- calculated volume (Å³ per cell) = 165.7
- energy relative to the lowest polymorph listed for this composition (eV per atom) = 0.0000
- formation enthalpy at 0 K (eV per formula unit) = -1.19

```
KTcP
1.0
-3.085 -1.545 2.141
1.759 -3.658 -0.106
4.875 2.097 8.538
P K Tc
2 2 2
direct
0.500 0.000 0.623
0.000 0.500 0.377
0.000 0.500 0.796
0.500 0.000 0.204
0.000 0.000 0.500
0.500 0.500 0.500
```


Entry 4:
A plane-wave DFT calculation with PBE was carried out for a relaxed K2TcP crystal.

- calculated volume (Å³ per cell) = 96.0
- formation enthalpy at 0 K (eV per formula unit) = 3.67

```
K2TcP
1.0
-4.420 -0.331 2.599
-3.220 -3.904 -0.894
-0.631 -3.672 3.539
K Tc P
2 1 1
direct
0.000 0.000 0.000
0.250 0.250 0.250
0.750 0.750 0.750
0.500 0.500 0.500
```


Entry 5:
A plane-wave DFT calculation with PBE was carried out for a relaxed KTc2P crystal.

- calculated volume (Å³ per cell) = 82.0
- formation enthalpy at 0 K (eV per formula unit) = 3.24

```
KTc2P
1.0
4.694 0.000 0.000
0.000 2.695 0.063
0.000 -0.568 6.467
P Tc K
1 2 1
direct
0.500 0.750 0.750
0.000 0.791 0.919
0.000 0.709 0.581
0.500 0.250 0.250
```


Entry 6:
A plane-wave DFT calculation with PBE was carried out for a relaxed KTcP2 crystal.

- calculated volume (Å³ per cell) = 71.7
- energy relative to the lowest polymorph listed for this composition (eV per atom) = 0.9991
- formation enthalpy at 0 K (eV per formula unit) = 2.85

```
KTcP2
1.0
2.565 0.000 0.000
0.000 7.488 -0.054
0.000 4.042 3.705
P K Tc
2 1 1
direct
0.000 0.000 0.000
0.500 0.500 0.000
0.000 0.000 0.500
0.500 0.500 0.500
```


Entry 7:
A plane-wave DFT calculation with PBE was carried out for a relaxed KTc3P crystal.

- calculated volume (Å³ per cell) = 95.6
- energy relative to the lowest polymorph listed for this composition (eV per atom) = 0.0000
- formation enthalpy at 0 K (eV per formula unit) = 4.65

```
KTc3P
1.0
-1.926 -2.550 -3.270
0.791 -3.766 2.470
-4.071 0.474 2.027
Tc K P
3 1 1
direct
0.000 0.500 0.000
0.000 0.000 0.500
0.500 0.000 0.000
0.500 0.500 0.500
0.000 0.000 0.000
```


Entry 8:
A plane-wave DFT calculation with PBE was carried out for a relaxed KTc2P crystal.

- calculated volume (Å³ per cell) = 69.5
- formation enthalpy at 0 K (eV per formula unit) = 4.41

```
KTc2P
1.0
5.306 0.002 0.010
-2.800 5.301 -0.003
-0.294 0.610 2.470
K Tc P
1 2 1
direct
0.000 0.500 0.500
0.500 0.000 0.500
0.000 0.000 0.000
0.500 0.500 0.000
```